# LuSbMo2

Crystalline LuSbMo2 at its relaxed geometry (GGA-PBE, OQMD via LeMat-Bulk).

## Properties
theoretical density = 10717 kg/m3
raw total energy = -7.40 eV per atom
space group = F-43m, No. 216

abc: 6.7154 6.7154 6.7154
angles: 90.00 90.00 90.00
With the nearest neighbours (Å) after each atom.
Fractional positions:
Lu1 0.0000 0.0000 0.0000  4 Sb 2.91, 4 Mo 2.91
Lu2 0.0000 0.5000 0.5000  4 Sb 2.91, 4 Mo 2.91
Lu3 0.5000 0.0000 0.5000  4 Sb 2.91, 4 Mo 2.91
Lu4 0.5000 0.5000 0.0000  4 Sb 2.91, 4 Mo 2.91
Sb1 0.2500 0.2500 0.7500  4 Mo 2.91, 4 Lu 2.91
Sb2 0.2500 0.7500 0.2500  4 Mo 2.91, 4 Lu 2.91
Sb3 0.7500 0.2500 0.2500  4 Mo 2.91, 4 Lu 2.91
Sb4 0.7500 0.7500 0.7500  4 Mo 2.91, 4 Lu 2.91
Mo1 0.0000 0.0000 0.5000  4 Mo 2.91, 4 Sb 2.91
Mo2 0.0000 0.5000 0.0000  4 Mo 2.91, 4 Sb 2.91
Mo3 0.2500 0.2500 0.2500  4 Lu 2.91, 4 Mo 2.91
Mo4 0.2500 0.7500 0.7500  4 Lu 2.91, 4 Mo 2.91
Mo5 0.5000 0.0000 0.0000  4 Mo 2.91, 4 Sb 2.91
Mo6 0.5000 0.5000 0.5000  4 Mo 2.91, 4 Sb 2.91
Mo7 0.7500 0.2500 0.7500  4 Lu 2.91, 4 Mo 2.91
Mo8 0.7500 0.7500 0.2500  4 Lu 2.91, 4 Mo 2.91